[1]
# Zn4CdTc

A relaxed Zn4CdTc crystal (PBE, the Alexandria database).

Summary:
size of the total moment = 0.6 μB/f.u.
total energy = -15.14 eV/f.u.

abc: 5.053 5.053 5.053
angles: 60.00 60.00 60.00
Atoms (fractional coordinates):
Zn1 0.376 0.376 0.376
Zn2 0.376 0.376 0.871
Zn3 0.376 0.871 0.376
Zn4 0.871 0.376 0.376
Cd1 0.000 0.000 0.000
Tc1 0.750 0.750 0.750

[2]
# HfZrVCu

A relaxed HfZrVCu crystal (PBE, the Alexandria database).

Summary:
size of the total moment = 1.7 μB/f.u.
total energy = -31.47 eV/f.u.

abc: 4.651 4.651 4.651
angles: 60.00 60.00 60.00
Atoms (fractional coordinates):
Hf1 0.000 0.000 0.000
Zr1 0.500 0.500 0.500
V1 0.750 0.750 0.750
Cu1 0.250 0.250 0.250

[3]
# ZnAs2W

A relaxed ZnAs2W crystal (PBE, the Alexandria database).

Summary:
size of the total moment = 0.0 μB/f.u.
total energy = -21.41 eV/f.u.

abc: 5.328 5.328 5.328
angles: 138.30 138.30 60.44
Atoms (fractional coordinates):
Zn1 0.000 0.000 0.000
As1 0.250 0.750 0.500
As2 0.500 0.500 0.000
W1 0.750 0.250 0.500

[4]
# BePbC3

A relaxed BePbC3 crystal (PBE, the Alexandria database).

Summary:
size of the total moment = 0.0 μB/f.u.
total energy = -23.21 eV/f.u.
energy relative to the lowest polymorph listed for this composition = 0.0 meV per atom

abc: 3.857 3.857 3.857
angles: 90.00 90.00 90.00
Atoms (fractional coordinates):
Be1 0.000 0.000 0.000
Pb1 0.500 0.500 0.500
C1 0.000 0.000 0.500
C2 0.000 0.500 0.000
C3 0.500 0.000 0.000

[5]
# K2YMo

A relaxed K2YMo crystal (PBE, the Alexandria database).

Summary:
size of the total moment = 2.8 μB/f.u.
total energy = -13.29 eV/f.u.
energy relative to the lowest polymorph listed for this composition = 769.3 meV per atom

abc: 5.882 5.882 5.882
angles: 60.00 60.00 60.00
Atoms (fractional coordinates):
K1 0.250 0.250 0.250
K2 0.750 0.750 0.750
Y1 0.000 0.000 0.000
Mo1 0.500 0.500 0.500

[6]
# Na3NiRh

A relaxed Na3NiRh crystal (PBE, the Alexandria database).

Summary:
size of the total moment = 1.8 μB/f.u.
total energy = -11.70 eV/f.u.
energy relative to the lowest polymorph listed for this composition = 11.8 meV per atom

abc: 5.314 5.314 5.314
angles: 90.00 90.00 90.00
Atoms (fractional coordinates):
Na1 0.000 0.000 0.500
Na2 0.000 0.500 0.000
Na3 0.500 0.000 0.000
Ni1 0.500 0.500 0.500
Rh1 0.000 0.000 0.000

[7]
# Zn2InBr

A relaxed Zn2InBr crystal (PBE, the Alexandria database).

Summary:
size of the total moment = 0.0 μB/f.u.
total energy = -6.93 eV/f.u.
energy relative to the lowest polymorph listed for this composition = 151.9 meV per atom

abc: 3.537 3.537 7.374
angles: 90.00 90.00 90.00
Atoms (fractional coordinates):
Zn1 0.000 0.000 0.242
Zn2 0.000 0.000 0.758
In1 0.500 0.500 0.000
Br1 0.500 0.500 0.500

[8]
# DyFeSi2Rh

A relaxed DyFeSi2Rh crystal (PBE, the Alexandria database).

Summary:
size of the total moment = 0.0 μB/f.u.
total energy = -35.76 eV/f.u.

abc: 5.629 5.629 5.629
angles: 138.10 138.10 60.76
Atoms (fractional coordinates):
Dy1 0.000 0.000 0.000
Fe1 0.750 0.250 0.500
Si1 0.372 0.372 0.000
Si2 0.628 0.628 0.000
Rh1 0.250 0.750 0.500

[9]
# Tm2NbS

A relaxed Tm2NbS crystal (PBE, the Alexandria database).

Summary:
size of the total moment = 0.7 μB/f.u.
total energy = -24.25 eV/f.u.

abc: 9.524 9.524 9.524
angles: 20.64 20.64 20.64
Atoms (fractional coordinates):
Tm1 0.104 0.104 0.104
Tm2 0.896 0.896 0.896
Nb1 0.000 0.000 0.000
S1 0.500 0.500 0.500

[10]
# Pb2SeCl

A relaxed Pb2SeCl crystal (PBE, the Alexandria database).

Summary:
size of the total moment = 0.0 μB/f.u.
total energy = -14.80 eV/f.u.
energy relative to the lowest polymorph listed for this composition = 68.3 meV per atom

abc: 4.009 4.859 6.162
angles: 90.00 90.00 90.00
Atoms (fractional coordinates):
Pb1 0.000 0.000 0.000
Pb2 0.500 0.500 0.498
Se1 0.000 0.000 0.498
Cl1 0.500 0.500 0.997

[11]
# LaScTa

A relaxed LaScTa crystal (PBE, the Alexandria database).

Summary:
size of the total moment = 0.0 μB/f.u.
total energy = -21.87 eV/f.u.
energy relative to the lowest polymorph listed for this composition = 131.8 meV per atom

abc: 5.189 5.189 3.230
angles: 90.00 90.00 120.00
Atoms (fractional coordinates):
La1 0.000 0.000 0.000
Sc1 0.667 0.333 0.500
Ta1 0.333 0.667 0.500

[12]
# BiW3Br

A relaxed BiW3Br crystal (PBE, the Alexandria database).

Summary:
size of the total moment = 0.0 μB/f.u.
total energy = -27.75 eV/f.u.
energy relative to the lowest polymorph listed for this composition = 1162.4 meV per atom

abc: 5.115 5.115 5.115
angles: 90.00 90.00 90.00
Atoms (fractional coordinates):
Bi1 0.000 0.000 0.000
W1 0.000 0.000 0.500
W2 0.000 0.500 0.000
W3 0.500 0.000 0.000
Br1 0.500 0.500 0.500